First-principles (GGA-PBEsol) data for crystalline KPbCl2 at its relaxed geometry, as listed in Alexandria via LeMat-Bulk.

Geometry as POSCAR:
```
KPbCl2
1.0
5.481 0.000 0.000
0.000 5.481 0.000
0.000 0.000 3.434
K Pb Cl
1 1 2
Direct
0.000 0.000 0.000
0.500 0.500 0.000
0.000 0.500 0.500
0.500 0.000 0.500
```

Results
As for the symmetry: P4/mmm. For the excess energy over the best structure of this formula in the dataset, the calculation gives 145 meV per atom. Its uncorrected energy is -13.5 eV for the cell shown.